Entry 1:
A relaxed GeC crystal. Source: Alexandria via LeMat-Bulk, functional GGA-PBE.

Cell lengths 6.279, 6.279, 6.279 Å; angles 90.00, 90.00, 90.00 degrees
Element x y z (fractional)
1 C 0.663 0.337 0.337
2 C 0.837 0.837 0.163
3 C 0.163 0.163 0.163
4 C 0.837 0.163 0.837
5 C 0.663 0.663 0.663
6 C 0.337 0.337 0.663
7 C 0.163 0.837 0.837
8 C 0.337 0.663 0.337
9 Ge 0.338 0.662 0.662
10 Ge 0.662 0.662 0.338
11 Ge 0.838 0.162 0.162
12 Ge 0.338 0.338 0.338
13 Ge 0.162 0.162 0.838
14 Ge 0.162 0.838 0.162
15 Ge 0.838 0.838 0.838
16 Ge 0.662 0.338 0.662

Properties
M_tot (Bohr magnetons per cell): 0.00
Final energy (Ry/atom): -0.4506

Entry 2:
A relaxed GeC crystal. Source: Alexandria via LeMat-Bulk, functional GGA-PBE.

Cell lengths 8.977, 8.985, 6.424 Å; angles 90.00, 90.00, 90.00 degrees
Element x y z (fractional)
1 C 0.250 0.416 0.750
2 C 0.500 0.334 0.000
3 C 0.750 0.084 0.250
4 C 0.250 0.084 0.750
5 C 0.750 0.916 0.750
6 C 0.000 0.666 0.500
7 C 0.750 0.584 0.750
8 C 0.250 0.916 0.250
9 C 0.000 0.334 0.500
10 C 0.500 0.166 0.500
11 C 0.500 0.834 0.500
12 C 0.000 0.166 0.000
13 C 0.250 0.584 0.250
14 C 0.000 0.834 0.000
15 C 0.500 0.666 0.000
16 C 0.750 0.416 0.250
17 Ge 0.342 0.000 0.500
18 Ge 0.658 0.000 0.500
19 Ge 0.842 0.500 0.500
20 Ge 0.158 0.000 0.000
21 Ge 0.658 0.500 0.000
22 Ge 0.158 0.500 0.500
23 Ge 0.092 0.250 0.750
24 Ge 0.092 0.750 0.250
25 Ge 0.408 0.250 0.750
26 Ge 0.908 0.750 0.750
27 Ge 0.592 0.750 0.750
28 Ge 0.908 0.250 0.250
29 Ge 0.408 0.750 0.250
30 Ge 0.342 0.500 0.000
31 Ge 0.592 0.250 0.250
32 Ge 0.842 0.000 0.000

Properties
M_tot (Bohr magnetons per cell): 0.00
Final energy (Ry/atom): -0.4468

Entry 3:
A relaxed GeC crystal. Source: Alexandria via LeMat-Bulk, functional GGA-PBE.

Cell lengths 4.405, 4.405, 4.405 Å; angles 90.00, 90.00, 90.00 degrees
Element x y z (fractional)
1 C 0.000 0.500 0.000
2 C 0.500 0.500 0.500
3 C 0.000 0.000 0.500
4 C 0.500 0.000 0.000
5 Ge 0.500 0.000 0.500
6 Ge 0.000 0.000 0.000
7 Ge 0.000 0.500 0.500
8 Ge 0.500 0.500 0.000

Properties
M_tot (Bohr magnetons per cell): 0.00
Final energy (Ry/atom): -0.4147

Entry 4:
A relaxed GeC crystal. Source: Alexandria via LeMat-Bulk, functional GGA-PBE.

Cell lengths 3.242, 4.134, 4.429 Å; angles 99.13, 89.40, 113.03 degrees
Element x y z (fractional)
1 Ge 0.176 0.345 0.733
2 Ge 0.824 0.655 0.267
3 C 0.414 0.827 0.037
4 C 0.586 0.173 0.963

Properties
M_tot (Bohr magnetons per cell): 0.00
Final energy (Ry/atom): -0.4532

Entry 5:
A relaxed GeC crystal. Source: Alexandria via LeMat-Bulk, functional GGA-PBE.

Cell lengths 3.253, 3.253, 15.974 Å; angles 90.00, 90.00, 120.00 degrees
Element x y z (fractional)
1 C 0.667 0.333 0.958
2 C 0.333 0.667 0.458
3 C 0.000 0.000 0.626
4 C 0.667 0.333 0.292
5 C 0.000 0.000 0.126
6 C 0.333 0.667 0.792
7 Ge 0.000 0.000 0.500
8 Ge 0.000 0.000 0.000
9 Ge 0.667 0.333 0.167
10 Ge 0.333 0.667 0.667
11 Ge 0.333 0.667 0.334
12 Ge 0.667 0.333 0.834

Properties
M_tot (Bohr magnetons per cell): 0.00
Final energy (Ry/atom): -0.4768

Entry 6:
A relaxed GeC crystal. Source: Alexandria via LeMat-Bulk, functional GGA-PBE.

Cell lengths 4.091, 3.325, 4.091 Å; angles 90.00, 103.21, 90.00 degrees
Element x y z (fractional)
1 Ge 0.000 0.496 0.500
2 Ge 0.500 0.257 0.000
3 C 0.135 0.876 0.135
4 C 0.865 0.876 0.865

Properties
M_tot (Bohr magnetons per cell): 0.00
Final energy (Ry/atom): -0.4296

Entry 7:
A relaxed GeC crystal. Source: Alexandria via LeMat-Bulk, functional GGA-PBE.

Cell lengths 8.412, 8.412, 3.290 Å; angles 90.00, 90.00, 90.00 degrees
Element x y z (fractional)
1 Ge 0.882 0.710 0.500
2 Ge 0.710 0.118 0.500
3 Ge 0.618 0.790 0.000
4 Ge 0.210 0.618 0.000
5 Ge 0.382 0.210 0.000
6 Ge 0.790 0.382 0.000
7 Ge 0.290 0.882 0.500
8 Ge 0.118 0.290 0.500
9 C 0.715 0.887 0.500
10 C 0.785 0.613 0.000
11 C 0.113 0.715 0.500
12 C 0.613 0.215 0.000
13 C 0.285 0.113 0.500
14 C 0.387 0.785 0.000
15 C 0.887 0.285 0.500
16 C 0.215 0.387 0.000

Properties
M_tot (Bohr magnetons per cell): 0.00
Final energy (Ry/atom): -0.4570

Entry 8:
A relaxed GeC crystal. Source: Alexandria via LeMat-Bulk, functional GGA-PBE.

Cell lengths 5.905, 5.868, 6.665 Å; angles 90.00, 90.00, 90.00 degrees
Element x y z (fractional)
1 C 0.159 0.909 0.034
2 C 0.659 0.591 0.966
3 C 0.857 0.938 0.723
4 C 0.357 0.562 0.277
5 C 0.143 0.438 0.777
6 C 0.643 0.062 0.223
7 C 0.341 0.091 0.534
8 C 0.841 0.409 0.466
9 Ge 0.312 0.606 0.977
10 Ge 0.188 0.394 0.477
11 Ge 0.688 0.106 0.523
12 Ge 0.348 0.912 0.281
13 Ge 0.812 0.894 0.023
14 Ge 0.152 0.088 0.781
15 Ge 0.652 0.412 0.219
16 Ge 0.848 0.588 0.719

Properties
M_tot (Bohr magnetons per cell): 0.00
Final energy (Ry/atom): -0.4499

Entry 9:
A relaxed GeC crystal. Source: Alexandria via LeMat-Bulk, functional GGA-PBE.

Cell lengths 3.003, 2.664, 3.003 Å; angles 90.00, 90.00, 90.00 degrees
Element x y z (fractional)
1 Ge 0.287 0.579 0.136
2 C 0.787 0.579 0.636

Properties
M_tot (Bohr magnetons per cell): 0.00
Final energy (Ry/atom): -0.3883

Entry 10:
A relaxed Ge3C crystal. Source: Alexandria via LeMat-Bulk, functional GGA-PBE.

Cell lengths 7.234, 7.234, 2.984 Å; angles 90.00, 90.00, 120.00 degrees
Element x y z (fractional)
1 Ge 0.405 0.202 0.750
2 Ge 0.202 0.798 0.250
3 Ge 0.798 0.202 0.750
4 Ge 0.202 0.405 0.250
5 Ge 0.798 0.595 0.750
6 Ge 0.595 0.798 0.250
7 C 0.333 0.667 0.750
8 C 0.667 0.333 0.250

Properties
M_tot (Bohr magnetons per cell): 0.00
Final energy (Ry/atom): -0.3600

Entry 11:
A relaxed GeC crystal. Source: Alexandria via LeMat-Bulk, functional GGA-PBE.

Cell lengths 9.001, 9.001, 3.332 Å; angles 90.00, 90.00, 90.00 degrees
Element x y z (fractional)
1 Ge 0.888 0.605 0.000
2 Ge 0.605 0.112 0.000
3 Ge 0.395 0.888 0.000
4 Ge 0.372 0.222 0.500
5 Ge 0.778 0.372 0.500
6 Ge 0.222 0.628 0.500
7 Ge 0.112 0.395 0.000
8 Ge 0.628 0.778 0.500
9 C 0.626 0.895 0.000
10 C 0.610 0.233 0.500
11 C 0.374 0.105 0.000
12 C 0.895 0.374 0.000
13 C 0.767 0.610 0.500
14 C 0.233 0.390 0.500
15 C 0.390 0.767 0.500
16 C 0.105 0.626 0.000

Properties
M_tot (Bohr magnetons per cell): 0.00
Final energy (Ry/atom): -0.4462

Entry 12:
A relaxed GeC crystal. Source: Alexandria via LeMat-Bulk, functional GGA-PBE.

Cell lengths 4.070, 9.968, 3.296 Å; angles 90.00, 90.00, 90.00 degrees
Element x y z (fractional)
1 Ge 0.500 0.678 0.000
2 Ge 0.500 0.322 0.000
3 Ge 0.000 0.178 0.000
4 Ge 0.000 0.822 0.000
5 C 0.500 0.432 0.500
6 C 0.000 0.068 0.500
7 C 0.500 0.568 0.500
8 C 0.000 0.932 0.500

Properties
M_tot (Bohr magnetons per cell): 0.00
Final energy (Ry/atom): -0.4661

Entry 13:
A relaxed GeC crystal. Source: Alexandria via LeMat-Bulk, functional GGA-PBE.

Cell lengths 5.654, 5.654, 5.654 Å; angles 90.00, 90.00, 90.00 degrees
Element x y z (fractional)
1 Ge 0.000 0.500 0.750
2 Ge 0.750 0.000 0.500
3 Ge 0.250 0.000 0.500
4 Ge 0.000 0.500 0.250
5 Ge 0.500 0.250 0.000
6 Ge 0.500 0.750 0.000
7 C 0.750 0.500 0.000
8 C 0.500 0.000 0.750
9 C 0.000 0.750 0.500
10 C 0.500 0.000 0.250
11 C 0.000 0.250 0.500
12 C 0.250 0.500 0.000

Properties
M_tot (Bohr magnetons per cell): 0.00
Final energy (Ry/atom): -0.4602

Entry 14:
A relaxed GeC crystal. Source: Alexandria via LeMat-Bulk, functional GGA-PBE.

Cell lengths 5.850, 3.235, 5.529 Å; angles 90.00, 90.00, 90.00 degrees
Element x y z (fractional)
1 Ge 0.290 0.000 0.844
2 Ge 0.210 0.500 0.344
3 Ge 0.710 0.000 0.844
4 Ge 0.790 0.500 0.344
5 C 0.866 0.500 0.713
6 C 0.634 0.000 0.213
7 C 0.134 0.500 0.713
8 C 0.366 0.000 0.213

Properties
M_tot (Bohr magnetons per cell): 0.00
Final energy (Ry/atom): -0.4594

Entry 15:
A relaxed GeC crystal. Source: Alexandria via LeMat-Bulk, functional GGA-PBE.

Cell lengths 3.282, 4.892, 10.055 Å; angles 90.00, 90.00, 90.00 degrees
Element x y z (fractional)
1 Ge 0.500 0.108 0.351
2 Ge 0.000 0.892 0.149
3 Ge 0.000 0.892 0.851
4 Ge 0.500 0.389 0.000
5 Ge 0.500 0.108 0.649
6 Ge 0.000 0.611 0.500
7 C 0.500 0.128 0.851
8 C 0.000 0.872 0.351
9 C 0.500 0.128 0.149
10 C 0.000 0.621 0.000
11 C 0.000 0.872 0.649
12 C 0.500 0.379 0.500

Properties
M_tot (Bohr magnetons per cell): 0.00
Final energy (Ry/atom): -0.4610

Entry 16:
A relaxed GeC crystal. Source: Alexandria via LeMat-Bulk, functional GGA-PBE.

Cell lengths 7.870, 7.870, 3.311 Å; angles 90.00, 90.00, 120.00 degrees
Element x y z (fractional)
1 Ge 0.670 0.592 0.250
2 Ge 0.078 0.670 0.750
3 Ge 0.330 0.408 0.750
4 Ge 0.408 0.078 0.250
5 Ge 0.592 0.922 0.750
6 Ge 0.922 0.330 0.250
7 C 0.590 0.675 0.750
8 C 0.675 0.085 0.250
9 C 0.085 0.410 0.750
10 C 0.410 0.325 0.250
11 C 0.915 0.590 0.250
12 C 0.325 0.915 0.750

Properties
M_tot (Bohr magnetons per cell): 0.00
Final energy (Ry/atom): -0.4600

Entry 17:
A relaxed GeC crystal. Source: Alexandria via LeMat-Bulk, functional GGA-PBE.

Cell lengths 3.320, 2.950, 2.950 Å; angles 90.00, 63.63, 116.37 degrees
Element x y z (fractional)
1 Ge 0.238 0.898 0.380
2 C 0.015 0.286 0.991

Properties
M_tot (Bohr magnetons per cell): 0.00
Final energy (Ry/atom): -0.4262

Entry 18:
A relaxed GeC crystal. Source: Alexandria via LeMat-Bulk, functional GGA-PBE.

Cell lengths 3.256, 3.257, 3.257 Å; angles 90.00, 120.00, 60.00 degrees
Element x y z (fractional)
1 C 0.520 0.836 0.665
2 Ge 0.020 0.586 0.415

Properties
M_tot (Bohr magnetons per cell): 0.00
Final energy (Ry/atom): -0.4768

Entry 19:
A relaxed GeC crystal. Source: Alexandria via LeMat-Bulk, functional GGA-PBE.

Cell lengths 3.251, 3.251, 10.659 Å; angles 90.00, 90.00, 120.00 degrees
Element x y z (fractional)
1 Ge 0.000 0.000 0.812
2 Ge 0.333 0.667 0.062
3 Ge 0.000 0.000 0.312
4 Ge 0.667 0.333 0.562
5 C 0.000 0.000 0.499
6 C 0.667 0.333 0.750
7 C 0.333 0.667 0.250
8 C 0.000 0.000 0.999

Properties
M_tot (Bohr magnetons per cell): 0.00
Final energy (Ry/atom): -0.4768

Entry 20:
A relaxed GeC crystal. Source: Alexandria via LeMat-Bulk, functional GGA-PBE.

Cell lengths 9.236, 3.195, 5.810 Å; angles 90.00, 90.00, 90.00 degrees
Element x y z (fractional)
1 Ge 0.707 0.851 0.826
2 Ge 0.207 0.149 0.326
3 Ge 0.500 0.517 0.103
4 Ge 0.000 0.483 0.603
5 Ge 0.793 0.149 0.326
6 Ge 0.293 0.851 0.826
7 C 0.210 0.352 0.678
8 C 0.790 0.352 0.678
9 C 0.290 0.648 0.178
10 C 0.000 0.000 0.392
11 C 0.710 0.648 0.178
12 C 0.500 0.000 0.892

Properties
M_tot (Bohr magnetons per cell): 0.00
Final energy (Ry/atom): -0.4402